(1)
Computed, not measured: a relaxed structure of TmIn12Hg6 at the PBE level of DFT.

Lattice parameters (Å, degrees): 8.4944 8.4944 8.4944 107.08 107.08 107.08
Sites, in units of the cell vectors:
Tm (0.0000, 0.0000, 0.0000)
In (0.0424, 0.2868, 0.8068)
In (0.1871, 0.5187, 0.6238)
In (0.1932, 0.9576, 0.7132)
In (0.2868, 0.8068, 0.0424)
In (0.3762, 0.8129, 0.4813)
In (0.4813, 0.3762, 0.8129)
In (0.5187, 0.6238, 0.1871)
In (0.6238, 0.1871, 0.5187)
In (0.7132, 0.1932, 0.9576)
In (0.8068, 0.0424, 0.2868)
In (0.8129, 0.4813, 0.3762)
In (0.9576, 0.7132, 0.1932)
Hg (0.1422, 0.4169, 0.2228)
Hg (0.2228, 0.1422, 0.4169)
Hg (0.4169, 0.2228, 0.1422)
Hg (0.5831, 0.7772, 0.8578)
Hg (0.7772, 0.8578, 0.5831)
Hg (0.8578, 0.5831, 0.7772)

* magnetic moment: 0.00 μB/cell
* space-group type: R-3, No. 148
* energy above the lowest structure with this stoichiometry: 0.0 meV/atom
* energy of formation from the pure elements: -0.03 eV per atom
* crystal system: trigonal

(2)
Computed, not measured: a relaxed structure of Tm5In2Hg at the PBE level of DFT.

Lattice parameters (Å, degrees): 6.7412 6.7412 13.0510 90.00 90.00 130.46
Sites, in units of the cell vectors:
Tm (0.0638, 0.9362, 0.6043)
Tm (0.0638, 0.9362, 0.8957)
Tm (0.3776, 0.6224, 0.5392)
Tm (0.3776, 0.6224, 0.9608)
Tm (0.4273, 0.5727, 0.2500)
Tm (0.5727, 0.4273, 0.7500)
Tm (0.6224, 0.3776, 0.0392)
Tm (0.6224, 0.3776, 0.4608)
Tm (0.9362, 0.0638, 0.1043)
Tm (0.9362, 0.0638, 0.3957)
In (0.1975, 0.8025, 0.1302)
In (0.1975, 0.8025, 0.3698)
In (0.8025, 0.1975, 0.6302)
In (0.8025, 0.1975, 0.8698)
Hg (0.2641, 0.7359, 0.7500)
Hg (0.7359, 0.2641, 0.2500)

* magnetic moment: 0.00 μB/cell
* space-group type: Cmcm, No. 63
* energy of formation from the pure elements: -0.11 eV per atom
* crystal system: orthorhombic

(3)
Computed, not measured: a relaxed structure of TmInHg at the PBE level of DFT.

Lattice parameters (Å, degrees): 4.8703 4.8703 3.5730 90.00 90.00 120.00
Sites, in units of the cell vectors:
Tm (0.0000, 0.0000, 0.0000)
In (0.3333, 0.6667, 0.5393)
Hg (0.6667, 0.3333, 0.4223)

* magnetic moment: 0.00 μB/cell
* space-group type: P3m1, No. 156
* energy of formation from the pure elements: -0.36 eV per atom
* crystal system: trigonal

(4)
Computed, not measured: a relaxed structure of TmInHg5 at the PBE level of DFT.

Lattice parameters (Å, degrees): 5.0737 5.0737 7.0291 90.00 90.00 90.00
Sites, in units of the cell vectors:
Tm (0.0000, 0.0000, 0.0000)
In (0.0000, 0.0000, 0.5000)
Hg (0.0000, 0.5000, 0.2678)
Hg (0.0000, 0.5000, 0.7322)
Hg (0.5000, 0.0000, 0.2678)
Hg (0.5000, 0.0000, 0.7322)
Hg (0.5000, 0.5000, 0.0000)

* magnetic moment: 0.00 μB/cell
* space-group type: P4/mmm, No. 123
* energy of formation from the pure elements: -0.17 eV per atom
* crystal system: tetragonal

(5)
Computed, not measured: a relaxed structure of Tm2InHg at the PBE level of DFT.

Lattice parameters (Å, degrees): 5.2377 5.2377 5.2377 60.00 60.00 60.00
Sites, in units of the cell vectors:
Tm (0.2500, 0.2500, 0.2500)
Tm (0.7500, 0.7500, 0.7500)
In (0.0000, 0.0000, 0.0000)
Hg (0.5000, 0.5000, 0.5000)

* magnetic moment: 0.00 μB/cell
* space-group type: Fm-3m, No. 225
* energy of formation from the pure elements: -0.44 eV per atom
* crystal system: cubic

(6)
Computed, not measured: a relaxed structure of Tm6InHg5 at the PBE level of DFT.

Lattice parameters (Å, degrees): 8.2276 8.2276 7.3832 90.00 90.00 143.17
Sites, in units of the cell vectors:
Tm (0.0000, 0.0000, 0.2461)
Tm (0.0000, 0.0000, 0.7539)
Tm (0.3315, 0.6685, 0.2485)
Tm (0.3315, 0.6685, 0.7515)
Tm (0.6685, 0.3315, 0.2485)
Tm (0.6685, 0.3315, 0.7515)
In (0.5000, 0.5000, 0.5000)
Hg (0.1652, 0.8348, 0.0000)
Hg (0.1650, 0.8350, 0.5000)
Hg (0.5000, 0.5000, 0.0000)
Hg (0.8348, 0.1652, 0.0000)
Hg (0.8350, 0.1650, 0.5000)

* magnetic moment: 0.00 μB/cell
* space-group type: Cmmm, No. 65
* energy of formation from the pure elements: -0.47 eV per atom
* crystal system: orthorhombic

(7)
Computed, not measured: a relaxed structure of Tm5InHg2 at the PBE level of DFT.

Lattice parameters (Å, degrees): 8.6762 8.6762 8.6762 124.00 124.00 83.21
Sites, in units of the cell vectors:
Tm (0.0000, 0.0000, 0.0000)
Tm (0.0036, 0.5036, 0.8075)
Tm (0.1960, 0.0036, 0.5000)
Tm (0.3040, 0.8040, 0.8075)
Tm (0.4964, 0.3040, 0.5000)
Tm (0.5000, 0.5000, 0.0000)
Tm (0.5036, 0.6960, 0.5000)
Tm (0.6960, 0.1960, 0.1925)
Tm (0.8040, 0.9964, 0.5000)
Tm (0.9964, 0.4964, 0.1925)
In (0.2500, 0.2500, 0.0000)
In (0.7500, 0.7500, 0.0000)
Hg (0.1402, 0.3598, 0.5000)
Hg (0.3598, 0.8598, 0.2197)
Hg (0.6402, 0.1402, 0.7803)
Hg (0.8598, 0.6402, 0.5000)

* magnetic moment: 0.00 μB/cell
* space-group type: I4/mcm, No. 140
* energy of formation from the pure elements: -0.36 eV per atom
* crystal system: tetragonal

(8)
Computed, not measured: a relaxed structure of Tm2InHg at the PBE level of DFT.

Lattice parameters (Å, degrees): 9.6112 9.6112 9.6112 21.94 21.94 21.94
Sites, in units of the cell vectors:
Tm (0.2482, 0.2482, 0.2482)
Tm (0.7518, 0.7518, 0.7518)
In (0.0000, 0.0000, 0.0000)
Hg (0.5000, 0.5000, 0.5000)

* magnetic moment: 0.00 μB/cell
* space-group type: R-3m, No. 166
* energy of formation from the pure elements: -0.34 eV per atom
* crystal system: trigonal

(9)
Computed, not measured: a relaxed structure of TmIn3Hg6 at the PBE level of DFT.

Lattice parameters (Å, degrees): 11.1348 3.7176 13.3075 90.00 108.55 90.00
Sites, in units of the cell vectors:
Tm (0.1221, 0.2500, 0.1406)
Tm (0.8779, 0.7500, 0.8594)
In (0.0511, 0.7500, 0.6992)
In (0.3939, 0.2500, 0.5265)
In (0.3964, 0.2500, 0.9163)
In (0.6036, 0.7500, 0.0837)
In (0.6061, 0.7500, 0.4735)
In (0.9489, 0.2500, 0.3008)
Hg (0.1111, 0.2500, 0.9062)
Hg (0.1283, 0.2500, 0.5360)
Hg (0.2007, 0.7500, 0.3440)
Hg (0.3156, 0.7500, 0.0787)
Hg (0.3263, 0.7500, 0.7218)
Hg (0.4103, 0.2500, 0.2840)
Hg (0.5897, 0.7500, 0.7160)
Hg (0.6737, 0.2500, 0.2782)
Hg (0.6844, 0.2500, 0.9213)
Hg (0.7993, 0.2500, 0.6560)
Hg (0.8717, 0.7500, 0.4640)
Hg (0.8889, 0.7500, 0.0938)

* magnetic moment: 0.00 μB/cell
* space-group type: P2_1/m, No. 11
* energy above the lowest structure with this stoichiometry: 15.5 meV/atom
* energy of formation from the pure elements: -0.08 eV per atom
* crystal system: monoclinic

(10)
Computed, not measured: a relaxed structure of Tm2InHg at the PBE level of DFT.

Lattice parameters (Å, degrees): 3.7008 3.7008 7.3836 90.00 90.00 90.00
Sites, in units of the cell vectors:
Tm (0.0000, 0.0000, 0.2434)
Tm (0.0000, 0.0000, 0.7566)
In (0.5000, 0.5000, 0.5000)
Hg (0.5000, 0.5000, 0.0000)

* magnetic moment: 0.00 μB/cell
* space-group type: P4/mmm, No. 123
* energy of formation from the pure elements: -0.45 eV per atom
* crystal system: tetragonal

(11)
Computed, not measured: a relaxed structure of TmInHg2 at the PBE level of DFT.

Lattice parameters (Å, degrees): 4.6046 4.6046 4.4949 90.00 90.00 90.00
Sites, in units of the cell vectors:
Tm (0.0000, 0.0000, 0.0000)
In (0.5000, 0.5000, 0.0000)
Hg (0.0000, 0.5000, 0.5000)
Hg (0.5000, 0.0000, 0.5000)

* magnetic moment: 0.00 μB/cell
* space-group type: P4/mmm, No. 123
* energy of formation from the pure elements: -0.31 eV per atom
* crystal system: tetragonal

(12)
Computed, not measured: a relaxed structure of Tm7InHg4 at the PBE level of DFT.

Lattice parameters (Å, degrees): 8.0265 8.0265 8.7656 115.37 115.37 40.85
Sites, in units of the cell vectors:
Tm (0.0000, 0.0000, 0.0000)
Tm (0.2137, 0.2137, 0.6569)
Tm (0.3318, 0.3318, 0.1160)
Tm (0.4269, 0.4269, 0.6038)
Tm (0.5731, 0.5731, 0.3962)
Tm (0.6682, 0.6682, 0.8840)
Tm (0.7863, 0.7863, 0.3431)
In (0.5000, 0.5000, 0.0000)
Hg (0.0308, 0.0308, 0.6907)
Hg (0.2001, 0.2001, 0.3021)
Hg (0.7999, 0.7999, 0.6979)
Hg (0.9692, 0.9692, 0.3093)

* magnetic moment: 0.00 μB/cell
* space-group type: C2/m, No. 12
* energy of formation from the pure elements: -0.21 eV per atom
* crystal system: monoclinic

(13)
Computed, not measured: a relaxed structure of Tm3In4Hg2 at the PBE level of DFT.

Lattice parameters (Å, degrees): 7.6661 7.6661 4.4352 90.00 90.00 120.00
Sites, in units of the cell vectors:
Tm (0.0000, 0.4114, 0.0000)
Tm (0.4114, 0.0000, 0.0000)
Tm (0.5886, 0.5886, 0.0000)
In (0.0000, 0.0000, 0.0000)
In (0.0000, 0.7402, 0.5000)
In (0.2598, 0.2598, 0.5000)
In (0.7402, 0.0000, 0.5000)
Hg (0.3333, 0.6667, 0.5000)
Hg (0.6667, 0.3333, 0.5000)

* magnetic moment: 0.00 μB/cell
* space-group type: P-62m, No. 189
* energy above the lowest structure with this stoichiometry: 33.7 meV/atom
* energy of formation from the pure elements: -0.33 eV per atom
* crystal system: hexagonal

(14)
Computed, not measured: a relaxed structure of TmIn3Hg4 at the PBE level of DFT.

Lattice parameters (Å, degrees): 9.2242 9.2242 9.2242 32.38 32.38 32.38
Sites, in units of the cell vectors:
Tm (0.0000, 0.0000, 0.0000)
In (0.2518, 0.2518, 0.2518)
In (0.5000, 0.5000, 0.5000)
In (0.7482, 0.7482, 0.7482)
Hg (0.1232, 0.1232, 0.1232)
Hg (0.3739, 0.3739, 0.3739)
Hg (0.6261, 0.6261, 0.6261)
Hg (0.8768, 0.8768, 0.8768)

* magnetic moment: 0.00 μB/cell
* space-group type: R-3m, No. 166
* energy of formation from the pure elements: -0.13 eV per atom
* crystal system: trigonal

(15)
Computed, not measured: a relaxed structure of Tm4In2Hg at the PBE level of DFT.

Lattice parameters (Å, degrees): 8.9448 8.9448 8.9448 33.66 33.66 33.66
Sites, in units of the cell vectors:
Tm (0.1217, 0.1217, 0.1217)
Tm (0.3732, 0.3732, 0.3732)
Tm (0.6268, 0.6268, 0.6268)
Tm (0.8783, 0.8783, 0.8783)
In (0.2513, 0.2513, 0.2513)
In (0.7487, 0.7487, 0.7487)
Hg (0.5000, 0.5000, 0.5000)

* magnetic moment: 0.00 μB/cell
* space-group type: R-3m, No. 166
* energy above the lowest structure with this stoichiometry: 0.0 meV/atom
* energy of formation from the pure elements: -0.29 eV per atom
* crystal system: trigonal

(16)
Computed, not measured: a relaxed structure of TmIn12Hg6 at the PBE level of DFT.

Lattice parameters (Å, degrees): 8.0202 8.0202 8.0202 89.98 89.98 89.98
Sites, in units of the cell vectors:
Tm (0.0000, 0.0000, 0.0000)
In (0.0169, 0.7203, 0.7151)
In (0.2200, 0.5457, 0.4462)
In (0.2797, 0.2849, 0.9831)
In (0.2849, 0.9831, 0.2797)
In (0.4462, 0.2200, 0.5457)
In (0.4543, 0.5538, 0.7800)
In (0.5457, 0.4462, 0.2200)
In (0.5538, 0.7800, 0.4543)
In (0.7151, 0.0169, 0.7203)
In (0.7203, 0.7151, 0.0169)
In (0.7800, 0.4543, 0.5538)
In (0.9831, 0.2797, 0.2849)
Hg (0.0833, 0.1450, 0.6404)
Hg (0.1450, 0.6404, 0.0833)
Hg (0.3596, 0.9167, 0.8550)
Hg (0.6404, 0.0833, 0.1450)
Hg (0.8550, 0.3596, 0.9167)
Hg (0.9167, 0.8550, 0.3596)

* magnetic moment: 0.00 μB/cell
* space-group type: R-3, No. 148
* energy above the lowest structure with this stoichiometry: 4.6 meV/atom
* energy of formation from the pure elements: -0.03 eV per atom
* crystal system: trigonal

(17)
Computed, not measured: a relaxed structure of Tm6In5Hg at the PBE level of DFT.

Lattice parameters (Å, degrees): 8.3465 8.3465 7.3524 90.00 90.00 143.19
Sites, in units of the cell vectors:
Tm (0.0000, 0.0000, 0.2472)
Tm (0.0000, 0.0000, 0.7528)
Tm (0.3348, 0.6652, 0.2486)
Tm (0.3348, 0.6652, 0.7514)
Tm (0.6652, 0.3348, 0.2486)
Tm (0.6652, 0.3348, 0.7514)
In (0.1663, 0.8337, 0.0000)
In (0.1674, 0.8326, 0.5000)
In (0.5000, 0.5000, 0.5000)
In (0.8326, 0.1674, 0.5000)
In (0.8337, 0.1663, 0.0000)
Hg (0.5000, 0.5000, 0.0000)

* magnetic moment: 0.00 μB/cell
* space-group type: Cmmm, No. 65
* energy of formation from the pure elements: -0.43 eV per atom
* crystal system: orthorhombic

(18)
Computed, not measured: a relaxed structure of Tm8In2Hg at the PBE level of DFT.

Lattice parameters (Å, degrees): 9.1330 9.1330 7.0356 100.36 100.36 32.43
Sites, in units of the cell vectors:
Tm (0.0279, 0.0279, 0.2496)
Tm (0.1823, 0.1823, 0.7645)
Tm (0.3378, 0.3378, 0.5617)
Tm (0.4073, 0.4073, 0.0509)
Tm (0.5927, 0.5927, 0.9491)
Tm (0.6622, 0.6622, 0.4383)
Tm (0.8177, 0.8177, 0.2355)
Tm (0.9721, 0.9721, 0.7504)
In (0.2056, 0.2056, 0.2111)
In (0.7944, 0.7944, 0.7889)
Hg (0.5000, 0.5000, 0.5000)

* magnetic moment: 0.00 μB/cell
* space-group type: C2/m, No. 12
* energy of formation from the pure elements: -0.21 eV per atom
* crystal system: monoclinic

(19)
Computed, not measured: a relaxed structure of Tm3In3Hg2 at the PBE level of DFT.

Lattice parameters (Å, degrees): 8.0269 8.0269 3.6065 90.00 90.00 120.00
Sites, in units of the cell vectors:
Tm (0.0000, 0.6071, 0.0000)
Tm (0.3929, 0.3929, 0.0000)
Tm (0.6071, 0.0000, 0.0000)
In (0.0000, 0.2327, 0.5000)
In (0.2327, 0.0000, 0.5000)
In (0.7673, 0.7673, 0.5000)
Hg (0.3333, 0.6667, 0.5000)
Hg (0.6667, 0.3333, 0.5000)

* magnetic moment: 0.00 μB/cell
* space-group type: P-62m, No. 189
* energy of formation from the pure elements: -0.40 eV per atom
* crystal system: hexagonal

(20)
Computed, not measured: a relaxed structure of Tm4In3Hg at the PBE level of DFT.

Lattice parameters (Å, degrees): 3.7327 4.7448 11.8617 90.00 90.00 90.00
Sites, in units of the cell vectors:
Tm (0.0000, 0.0000, 0.0000)
Tm (0.0000, 0.5000, 0.3067)
Tm (0.5000, 0.0000, 0.4943)
Tm (0.5000, 0.5000, 0.8123)
In (0.0000, 0.0000, 0.7336)
In (0.0000, 0.5000, 0.5736)
In (0.5000, 0.5000, 0.0760)
Hg (0.5000, 0.0000, 0.2374)

* magnetic moment: 0.00 μB/cell
* space-group type: Pmm2, No. 25
* energy above the lowest structure with this stoichiometry: 28.7 meV/atom
* energy of formation from the pure elements: -0.41 eV per atom
* crystal system: orthorhombic